First-principles (PBE) data for an optimized crystal structure of AlSiPdAu, as listed in OQMD.

a = 6.294 Å, b = 6.294 Å, c = 6.294 Å
α = 90.00°, β = 90.00°, γ = 90.00°
Space group F-43m (No. 216)
Asymmetric unit:
Al1 0.000 0.000 0.000
Si1 0.000 0.000 0.500
Pd1 0.250 0.250 0.250
Au1 0.250 0.250 0.750

ΔE to the lowest computed polymorph in eV per atom: 0.000
Calculated total energy in eV/atom: -4.612

First-principles (PBE) data for an optimized crystal structure of AlSiPdAu, as listed in OQMD.

a = 6.373 Å, b = 6.373 Å, c = 6.373 Å
α = 90.00°, β = 90.00°, γ = 90.00°
Space group F-43m (No. 216)
Asymmetric unit:
Al1 0.000 0.000 0.000
Si1 0.250 0.250 0.750
Pd1 0.000 0.000 0.500
Au1 0.250 0.250 0.250

ΔE to the lowest computed polymorph in eV per atom: 0.151
Calculated total energy in eV/atom: -4.460

First-principles (PBE) data for an optimized crystal structure of AlSnPdAu, as listed in OQMD.

a = 6.634 Å, b = 6.634 Å, c = 6.634 Å
α = 90.00°, β = 90.00°, γ = 90.00°
Space group F-43m (No. 216)
Asymmetric unit:
Al1 0.000 0.000 0.000
Sn1 0.000 0.000 0.500
Pd1 0.250 0.250 0.250
Au1 0.250 0.250 0.750

ΔE to the lowest computed polymorph in eV per atom: 0.000
Calculated total energy in eV/atom: -4.288

First-principles (PBE) data for an optimized crystal structure of SrAl2PdAu, as listed in OQMD.

a = 4.509 Å, b = 4.509 Å, c = 10.369 Å
α = 90.00°, β = 90.00°, γ = 90.00°
Space group P4/nmm (No. 129, origin choice 2)
Asymmetric unit:
Sr1 0.250 0.250 0.250
Al1 0.250 0.250 0.631
Al2 0.250 0.750 0.000
Pd1 0.250 0.250 0.877
Au1 0.250 0.750 0.500

ΔE to the lowest computed polymorph in eV per atom: 0.040
Calculated total energy in eV/atom: -4.206

First-principles (PBE) data for an optimized crystal structure of SrAl2PdAu, as listed in OQMD.

a = 4.493 Å, b = 4.493 Å, c = 10.386 Å
α = 90.00°, β = 90.00°, γ = 90.00°
Space group P4/nmm (No. 129, origin choice 2)
Asymmetric unit:
Sr1 0.250 0.250 0.243
Al1 0.250 0.250 0.888
Al2 0.250 0.750 0.500
Pd1 0.250 0.750 0.000
Au1 0.250 0.250 0.635

ΔE to the lowest computed polymorph in eV per atom: 0.000
Calculated total energy in eV/atom: -4.245

First-principles (PBE) data for an optimized crystal structure of TmAlPdAu, as listed in OQMD.

a = 4.4397 Å, b = 4.4397 Å, c = 9.0173 Å
α = 90.00°, β = 90.00°, γ = 120.00°
Space group P-6m2 (No. 187)
Asymmetric unit:
Tm1 0.0000 0.0000 0.0000
Tm2 0.3333 0.6667 0.5000
Al1 0.6667 0.3333 0.2326
Pd1 0.3333 0.6667 0.1690
Au1 0.0000 0.0000 0.3333

ΔE to the lowest computed polymorph in eV per atom: 0.005
Calculated total energy in eV/atom: -5.042

First-principles (PBE) data for an optimized crystal structure of TmAlPdAu, as listed in OQMD.

a = 4.4332 Å, b = 4.4332 Å, c = 9.0574 Å
α = 90.00°, β = 90.00°, γ = 120.00°
Space group P-3m1 (No. 164)
Asymmetric unit:
Tm1 0.3333 0.6667 0.2420
Al1 0.0000 0.0000 0.0000
Al2 0.0000 0.0000 0.5000
Pd1 0.3333 0.6667 0.9208
Au1 0.3333 0.6667 0.5904

ΔE to the lowest computed polymorph in eV per atom: 0.008
Calculated total energy in eV/atom: -5.039

First-principles (PBE) data for an optimized crystal structure of TmAlPdAu, as listed in OQMD.

a = 4.4332 Å, b = 4.4332 Å, c = 9.0343 Å
α = 90.00°, β = 90.00°, γ = 120.00°
Space group P6_3mc (No. 186)
Asymmetric unit:
Tm1 0.3333 0.6667 0.0000
Al1 0.0000 0.0000 0.2370
Pd1 0.3333 0.6667 0.6663
Au1 0.3333 0.6667 0.3332

ΔE to the lowest computed polymorph in eV per atom: 0.000
Calculated total energy in eV/atom: -5.047

First-principles (PBE) data for an optimized crystal structure of Tm2Al2PdAu3, as listed in OQMD.

a = 4.4724 Å, b = 4.4724 Å, c = 9.0322 Å
α = 90.00°, β = 90.00°, γ = 120.00°
Space group P3m1 (No. 156)
Asymmetric unit:
Tm1 0.0000 0.0000 0.0000
Tm2 0.3333 0.6667 0.4926
Al1 0.6667 0.3333 0.2355
Al2 0.6667 0.3333 0.7460
Pd1 0.3333 0.6667 0.1660
Au1 0.0000 0.0000 0.3265
Au2 0.0000 0.0000 0.6577
Au3 0.3333 0.6667 0.8357

Calculated total energy in eV/atom: -4.753

First-principles (PBE) data for an optimized crystal structure of Tm2Al2PdAu3, as listed in OQMD.

a = 4.4691 Å, b = 4.4691 Å, c = 9.0564 Å
α = 90.00°, β = 90.00°, γ = 120.00°
Space group P3m1 (No. 156)
Asymmetric unit:
Tm1 0.0000 0.0000 0.0000
Tm2 0.3333 0.6667 0.5082
Al1 0.6667 0.3333 0.2547
Al2 0.6667 0.3333 0.7641
Pd1 0.3333 0.6667 0.8349
Au1 0.0000 0.0000 0.3427
Au2 0.0000 0.0000 0.6740
Au3 0.3333 0.6667 0.1650

Calculated total energy in eV/atom: -4.753

First-principles (PBE) data for an optimized crystal structure of ZrAlPdAu, as listed in OQMD.

a = 4.4070 Å, b = 4.4070 Å, c = 8.6058 Å
α = 90.00°, β = 90.00°, γ = 120.00°
Space group P-6m2 (No. 187)
Asymmetric unit:
Zr1 0.0000 0.0000 0.0000
Zr2 0.3333 0.6667 0.5000
Al1 0.6667 0.3333 0.2210
Pd1 0.3333 0.6667 0.1671
Au1 0.0000 0.0000 0.3355

Calculated total energy in eV/atom: -5.886

First-principles (PBE) data for an optimized crystal structure of ZrAlPdAu, as listed in OQMD.

a = 4.3992 Å, b = 4.3992 Å, c = 8.6358 Å
α = 90.00°, β = 90.00°, γ = 120.00°
Space group P6_3mc (No. 186)
Asymmetric unit:
Zr1 0.3333 0.6667 0.0000
Al1 0.0000 0.0000 0.2642
Pd1 0.3333 0.6667 0.3346
Au1 0.3333 0.6667 0.6639

Calculated total energy in eV/atom: -5.892

Repeat the fourth record exactly.
First-principles (PBE) data for an optimized crystal structure of SrAl2PdAu, as listed in OQMD.

a = 4.509 Å, b = 4.509 Å, c = 10.369 Å
α = 90.00°, β = 90.00°, γ = 90.00°
Space group P4/nmm (No. 129, origin choice 2)
Asymmetric unit:
Sr1 0.250 0.250 0.250
Al1 0.250 0.250 0.631
Al2 0.250 0.750 0.000
Pd1 0.250 0.250 0.877
Au1 0.250 0.750 0.500

ΔE to the lowest computed polymorph in eV per atom: 0.040
Calculated total energy in eV/atom: -4.206

What is the calculated total energy in the twelfth record? -5.892 eV/atom